A:
DFT (GGA-PBE) results for an optimized crystal structure of La3Ag4.

Its space group is P6/mmm, No. 191. The calculation puts the density at 7.0 Mg/m³.

```
La3Ag4
1.0
6.710 0.000 0.000
-3.355 5.811 0.000
0.000 0.000 5.174
La Ag
3 4
Direct
0.000 0.500 0.000
0.500 0.000 0.000
0.500 0.500 0.000
0.000 0.000 0.252
0.000 0.000 0.748
0.333 0.667 0.500
0.667 0.333 0.500
```



B:
DFT (GGA-PBE) results for an optimized crystal structure of La3Ag4.

Its space group is I4/mmm, No. 139. The calculation puts the density at 7.6 Mg/m³.

```
La3Ag4
1.0
-1.933 1.933 12.414
1.933 -1.933 12.414
1.933 1.933 -12.414
La Ag
3 4
Direct
0.000 0.000 0.000
0.301 0.301 0.000
0.699 0.699 0.000
0.129 0.129 0.000
0.429 0.429 0.000
0.571 0.571 0.000
0.871 0.871 0.000
```



Least stable structure: A



A:
DFT (GGA-PBE) results for an optimized crystal structure of Li3LaAg.

Its space group is P6_3/mmc, No. 194. The calculation puts the density at 3.8 Mg/m³.

```
Li3LaAg
1.0
6.763 0.000 0.000
-3.381 5.857 0.000
0.000 0.000 5.832
Li La Ag
6 2 2
Direct
0.188 0.376 0.250
0.188 0.812 0.250
0.376 0.188 0.750
0.624 0.812 0.250
0.812 0.188 0.750
0.812 0.624 0.750
0.333 0.667 0.750
0.667 0.333 0.250
0.000 0.000 0.000
0.000 0.000 0.500
```



B:
DFT (GGA-PBE) results for an optimized crystal structure of Li3LaAg.

Its space group is Pm-3m, No. 221. The calculation puts the density at 3.7 Mg/m³.

```
Li3LaAg
1.0
4.939 0.000 0.000
0.000 4.939 0.000
0.000 0.000 4.939
Li La Ag
3 1 1
Direct
0.000 0.000 0.500
0.000 0.500 0.000
0.500 0.000 0.000
0.500 0.500 0.500
0.000 0.000 0.000
```



C:
DFT (GGA-PBE) results for an optimized crystal structure of Li3LaAg.

Its space group is Pm-3m, No. 221. The calculation puts the density at 2.4 Mg/m³.

```
Li3LaAg
1.0
5.672 0.000 0.000
0.000 5.672 0.000
0.000 0.000 5.672
Li La Ag
3 1 1
Direct
0.000 0.000 0.500
0.000 0.500 0.000
0.500 0.000 0.000
0.000 0.000 0.000
0.500 0.500 0.500
```



Least stable structure: C



A:
DFT (GGA-PBE) results for an optimized crystal structure of Li2LaAg.

Its space group is P4mm, No. 99. The calculation puts the density at 4.7 Mg/m³.

```
Li2LaAg
1.0
3.502 0.000 0.000
0.000 3.502 0.000
0.000 0.000 7.536
Li La Ag
2 1 1
Direct
0.000 0.000 0.000
0.500 0.500 0.204
0.500 0.500 0.658
0.000 0.000 0.374
```



B:
DFT (GGA-PBE) results for an optimized crystal structure of Li2LaAg.

Its space group is P2_1/m, No. 11. The calculation puts the density at 4.6 Mg/m³.

```
Li2LaAg
1.0
4.349 0.000 0.000
0.000 7.962 0.000
-2.162 0.000 5.464
Li La Ag
4 2 2
Direct
0.157 0.057 0.315
0.157 0.443 0.315
0.843 0.557 0.685
0.843 0.943 0.685
0.441 0.250 0.882
0.559 0.750 0.118
0.275 0.750 0.550
0.725 0.250 0.450
```



Least stable structure: A



A:
DFT (GGA-PBE) results for an optimized crystal structure of Li2LaAg.

Its space group is P4/mmm, No. 123. The calculation puts the density at 4.9 Mg/m³.

```
Li2LaAg
1.0
3.394 0.000 0.000
0.000 3.394 0.000
0.000 0.000 7.672
Li La Ag
2 1 1
Direct
0.000 0.000 0.178
0.000 0.000 0.822
0.500 0.500 0.500
0.500 0.500 0.000
```



B:
DFT (GGA-PBE) results for an optimized crystal structure of Li2LaAg.

Its space group is Cmmm, No. 65. The calculation puts the density at 4.7 Mg/m³.

```
Li2LaAg
1.0
3.080 -4.160 0.000
3.080 4.160 0.000
0.000 0.000 3.591
Li La Ag
2 1 1
Direct
0.000 0.500 0.000
0.500 0.000 0.000
0.000 0.000 0.500
0.500 0.500 0.500
```



C:
DFT (GGA-PBE) results for an optimized crystal structure of Li2LaAg.

Its space group is P4/mmm, No. 123. The calculation puts the density at 4.3 Mg/m³.

```
Li2LaAg
1.0
4.317 0.000 0.000
0.000 4.317 0.000
0.000 0.000 5.393
Li La Ag
2 1 1
Direct
0.000 0.500 0.000
0.500 0.000 0.000
0.000 0.000 0.500
0.500 0.500 0.500
```



Least stable structure: B



A:
DFT (GGA-PBE) results for an optimized crystal structure of Li2LaAg.

Its space group is P2/m, No. 10. The calculation puts the density at 4.6 Mg/m³.

```
Li2LaAg
1.0
3.320 0.000 0.000
0.000 5.204 0.000
-0.431 0.000 5.483
Li La Ag
2 1 1
Direct
0.164 0.000 0.288
0.836 0.000 0.712
0.500 0.500 0.000
0.000 0.500 0.500
```



B:
DFT (GGA-PBE) results for an optimized crystal structure of Li2LaAg.

Its space group is P4/mmm, No. 123. The calculation puts the density at 4.8 Mg/m³.

```
Li2LaAg
1.0
5.210 0.000 0.000
0.000 5.210 0.000
0.000 0.000 3.318
Li La Ag
2 1 1
Direct
0.000 0.500 0.000
0.500 0.000 0.000
0.000 0.000 0.500
0.500 0.500 0.500
```



Least stable structure: B



A:
DFT (GGA-PBE) results for an optimized crystal structure of Li2LaAg.

Its space group is Fm-3m, No. 225. The calculation puts the density at 4.9 Mg/m³.

```
Li2LaAg
1.0
0.000 3.535 3.535
3.535 0.000 3.535
3.535 3.535 0.000
Li La Ag
2 1 1
Direct
0.250 0.250 0.250
0.750 0.750 0.750
0.000 0.000 0.000
0.500 0.500 0.500
```



B:
DFT (GGA-PBE) results for an optimized crystal structure of Li2LaAg.

Its space group is C2/m, No. 12. The calculation puts the density at 4.4 Mg/m³.

```
Li2LaAg
1.0
3.117 -5.575 0.000
3.117 5.575 0.000
-1.521 0.000 2.820
Li La Ag
2 1 1
Direct
0.000 0.500 0.000
0.500 0.000 0.000
0.000 0.000 0.500
0.500 0.500 0.500
```



C:
DFT (GGA-PBE) results for an optimized crystal structure of Li2LaAg.

Its space group is F-43m, No. 216. The calculation puts the density at 4.5 Mg/m³.

```
Li2LaAg
1.0
0.000 3.635 3.635
3.635 0.000 3.635
3.635 3.635 0.000
Li La Ag
2 1 1
Direct
0.000 0.000 0.000
0.250 0.250 0.250
0.500 0.500 0.500
0.750 0.750 0.750
```



D:
DFT (GGA-PBE) results for an optimized crystal structure of Li2LaAg.

Its space group is I4/mmm, No. 139. The calculation puts the density at 4.8 Mg/m³.

```
Li2LaAg
1.0
-2.292 2.292 4.305
2.292 -2.292 4.305
2.292 2.292 -4.305
Li La Ag
2 1 1
Direct
0.250 0.750 0.500
0.750 0.250 0.500
0.000 0.000 0.000
0.500 0.500 0.000
```



Least stable structure: B



A:
DFT (GGA-PBE) results for an optimized crystal structure of Li2LaAg.

Its space group is R-3m, No. 166. The calculation puts the density at 4.7 Mg/m³.

```
Li2LaAg
1.0
1.628 0.940 10.054
-1.628 0.940 10.054
0.000 -1.880 10.054
Li La Ag
2 1 1
Direct
0.234 0.234 0.234
0.766 0.766 0.766
0.000 0.000 0.000
0.500 0.500 0.500
```



B:
DFT (GGA-PBE) results for an optimized crystal structure of Li2LaAg.

Its space group is Immm, No. 71. The calculation puts the density at 4.5 Mg/m³.

```
Li2LaAg
1.0
-1.686 2.717 5.300
1.686 -2.717 5.300
1.686 2.717 -5.300
Li La Ag
2 1 1
Direct
0.209 0.209 0.000
0.791 0.791 0.000
0.500 0.000 0.500
0.000 0.500 0.500
```



Least stable structure: A



A:
DFT (GGA-PBE) results for an optimized crystal structure of Li2LaAg.

Its space group is C2/m, No. 12. The calculation puts the density at 4.7 Mg/m³.

```
Li2LaAg
1.0
5.170 -1.717 0.000
5.170 1.717 0.000
-1.412 0.000 5.236
Li La Ag
2 1 1
Direct
0.222 0.222 0.184
0.778 0.778 0.816
0.000 0.000 0.500
0.500 0.500 0.000
```



B:
DFT (GGA-PBE) results for an optimized crystal structure of Li2LaAg.

Its space group is R3m, No. 160. The calculation puts the density at 4.8 Mg/m³.

```
Li2LaAg
1.0
1.593 0.920 10.309
-1.593 0.920 10.309
0.000 -1.839 10.309
Li La Ag
2 1 1
Direct
0.000 0.000 0.000
0.197 0.197 0.197
0.766 0.766 0.766
0.598 0.598 0.598
```



C:
DFT (GGA-PBE) results for an optimized crystal structure of Li2LaAg.

Its space group is Cm, No. 8. The calculation puts the density at 4.5 Mg/m³.

```
Li2LaAg
1.0
4.029 -2.322 0.000
4.029 2.322 0.000
-2.676 0.000 5.124
Li La Ag
2 1 1
Direct
0.000 0.000 0.000
0.716 0.716 0.148
0.205 0.205 0.615
0.412 0.412 0.236
```



Least stable structure: B